A plane-wave DFT calculation with PBE-GGA was carried out for a relaxed Nd3PuHg5 crystal.

abc: 6.443 9.389 9.389
angles: 120.00 90.00 90.00
Fractional positions:
Hg 0.750 0.693 0.693
Hg 0.750 0.307 0.000
Hg 0.750 0.000 0.307
Hg 0.000 0.667 0.333
Hg 0.500 0.667 0.333
Hg 0.250 0.307 0.307
Hg 0.500 0.333 0.667
Hg 0.000 0.333 0.667
Hg 0.250 0.693 0.000
Hg 0.250 0.000 0.693
Nd 0.750 0.360 0.360
Nd 0.750 0.000 0.640
Nd 0.250 0.640 0.640
Nd 0.250 0.360 0.000
Nd 0.250 0.000 0.360
Nd 0.750 0.640 0.000
Pu 0.000 0.000 0.000
Pu 0.500 0.000 0.000

Properties
- Crystal system: hexagonal
- E_form: -0.3667 eV per atom
- Energy: -3.716 eV/atom
- N(E_F): 25.16 states/eV per cell
- Space-group type: P6_3/mcm (193)

A plane-wave DFT calculation with PBE-GGA was carried out for a relaxed NdPu4Hg5 crystal.

abc: 3.690 3.690 19.838
angles: 90.00 90.00 90.00
Fractional positions:
Hg 0.500 0.500 0.500
Hg 0.500 0.500 0.301
Hg 0.500 0.500 0.100
Hg 0.500 0.500 0.699
Hg 0.500 0.500 0.900
Pu 0.000 0.000 0.600
Pu 0.000 0.000 0.799
Pu 0.000 0.000 0.201
Pu 0.000 0.000 0.400
Nd 0.000 0.000 0.000

Properties
- Crystal system: tetragonal
- E_form: -0.1687 eV per atom
- Energy: -6.529 eV/atom
- N(E_F): 33.61 states/eV per cell
- Space-group type: P4/mmm (123)

A plane-wave DFT calculation with PBE-GGA was carried out for a relaxed Nd5PuHg6 crystal.

abc: 5.400 9.363 9.363
angles: 119.91 106.76 106.76
Fractional positions:
Hg 0.748 0.581 0.915
Hg 0.748 0.915 0.581
Hg 0.252 0.419 0.085
Hg 0.245 0.745 0.745
Hg 0.252 0.085 0.419
Hg 0.755 0.255 0.255
Pu 0.000 0.000 0.000
Nd 0.500 0.838 0.162
Nd 0.500 0.500 0.500
Nd 0.500 0.162 0.838
Nd 0.000 0.331 0.669
Nd 0.000 0.669 0.331

Properties
- Crystal system: orthorhombic
- E_form: -0.4111 eV per atom
- Energy: -3.743 eV/atom
- N(E_F): 18.95 states/eV per cell
- Space-group type: Immm (71)

A plane-wave DFT calculation with PBE-GGA was carried out for a relaxed NdPuHg crystal.

abc: 3.613 3.613 7.145
angles: 104.65 104.65 90.00
Fractional positions:
Pu 0.321 0.321 0.642
Nd 0.011 0.011 0.022
Hg 0.668 0.668 0.336

Properties
- Crystal system: tetragonal
- E_form: -0.0997 eV per atom
- Energy: -6.567 eV/atom
- N(E_F): 8.20 states/eV per cell
- Space-group type: I4mm (107)

A plane-wave DFT calculation with PBE-GGA was carried out for a relaxed Nd2PuHg6 crystal.

abc: 3.374 8.819 8.819
angles: 120.00 90.00 90.00
Fractional positions:
Hg 0.500 0.000 0.333
Hg 0.500 0.667 0.667
Hg 0.500 0.333 0.333
Hg 0.500 0.333 0.000
Hg 0.500 0.000 0.667
Hg 0.500 0.667 0.000
Nd 0.000 0.333 0.667
Nd 0.000 0.667 0.333
Pu 0.000 0.000 0.000

Properties
- Crystal system: hexagonal
- E_form: -0.3421 eV per atom
- Energy: -3.195 eV/atom
- N(E_F): 13.87 states/eV per cell
- Space-group type: P6/mmm (191)

A plane-wave DFT calculation with PBE-GGA was carried out for a relaxed NdPuHg2 crystal.

abc: 3.820 5.371 5.371
angles: 90.00 90.00 90.00
Fractional positions:
Pu 0.500 0.500 0.500
Hg 0.000 0.500 0.000
Hg 0.000 0.000 0.500
Nd 0.500 0.000 0.000

Properties
- Crystal system: tetragonal
- E_form: -0.2886 eV per atom
- Energy: -5.214 eV/atom
- N(E_F): 11.01 states/eV per cell
- Space-group type: P4/mmm (123)

A plane-wave DFT calculation with PBE-GGA was carried out for a relaxed NdPu2Hg6 crystal.

abc: 3.273 8.862 8.863
angles: 120.00 90.00 90.00
Fractional positions:
Pu 0.000 0.333 0.667
Pu 0.000 0.667 0.333
Hg 0.500 0.000 0.666
Hg 0.500 0.334 0.000
Hg 0.500 0.334 0.334
Hg 0.500 0.666 0.000
Hg 0.500 0.000 0.334
Hg 0.500 0.666 0.666
Nd 0.000 0.000 0.000

Properties
- Crystal system: hexagonal
- E_form: -0.2613 eV per atom
- Energy: -4.177 eV/atom
- N(E_F): 19.15 states/eV per cell
- Space-group type: P6/mmm (191)

A plane-wave DFT calculation with PBE-GGA was carried out for a relaxed Nd3PuHg12 crystal.

abc: 4.678 4.679 18.988
angles: 90.00 90.00 90.00
Fractional positions:
Hg 0.000 0.500 0.375
Hg 0.500 0.500 0.748
Hg 0.500 0.500 0.252
Hg 0.500 0.000 0.875
Hg 0.000 0.500 0.875
Hg 0.000 0.500 0.125
Hg 0.500 0.500 0.000
Hg 0.000 0.500 0.625
Hg 0.500 0.000 0.375
Hg 0.500 0.500 0.500
Hg 0.500 0.000 0.625
Hg 0.500 0.000 0.125
Nd 0.000 0.000 0.751
Nd 0.000 0.000 0.249
Nd 0.000 0.000 0.500
Pu 0.000 0.000 0.000

Properties
- Crystal system: tetragonal
- E_form: -0.2819 eV per atom
- Energy: -2.298 eV/atom
- N(E_F): 26.96 states/eV per cell
- Space-group type: P4/mmm (123)

Q: Which of these has the highest energy?
A: Nd3PuHg12